Here is CaSi2NiOs after structural relaxation from Alexandria. Energies are from GGA-PBE.

a = 5.0248 Å, b = 5.0248 Å, c = 4.7265 Å
α = 90.00°, β = 90.00°, γ = 90.00°
Positions (direct):
Ca1 0.0000 0.0000 0.0000
Si1 0.0000 0.5000 0.0000
Si2 0.5000 0.0000 0.0000
Ni1 0.5000 0.5000 0.5000
Os1 0.0000 0.0000 0.5000

Properties
* ΔE_f (raw): 2.4622 eV per atom

---

Here is CeMg2Hg after structural relaxation from Alexandria. Energies are from GGA-PBE.

a = 4.5522 Å, b = 4.5522 Å, c = 4.9682 Å
α = 90.00°, β = 90.00°, γ = 90.00°
Positions (direct):
Ce1 0.0000 0.0000 0.0000
Mg1 0.0000 0.5000 0.5000
Mg2 0.5000 0.0000 0.5000
Hg1 0.5000 0.5000 0.0000

Properties
* final energy: -2.458 eV/atom

---

Here is KLiRe2 after structural relaxation from Alexandria. Energies are from GGA-PBE.

a = 4.5870 Å, b = 4.5870 Å, c = 7.3289 Å
α = 90.82°, β = 90.82°, γ = 33.17°
Positions (direct):
K1 0.0000 0.0000 0.0000
Li1 0.7569 0.7569 0.3432
Re1 0.2451 0.2451 0.6699
Re2 0.4937 0.4937 0.5279

Properties
* final energy: -6.256 eV/atom

---

Here is Ac3ZnCd2Cu6 after structural relaxation from Alexandria. Energies are from GGA-PBE.

a = 5.9952 Å, b = 5.9952 Å, c = 8.7323 Å
α = 90.00°, β = 90.00°, γ = 120.00°
Positions (direct):
Ac1 0.0000 0.0000 0.0000
Ac2 0.3333 0.6667 0.6260
Ac3 0.6667 0.3333 0.3740
Zn1 0.0000 0.0000 0.5000
Cd1 0.3333 0.6667 0.0281
Cd2 0.6667 0.3333 0.9719
Cu1 0.1896 0.3792 0.2953
Cu2 0.1896 0.8104 0.2953
Cu3 0.3792 0.1896 0.7047
Cu4 0.6208 0.8104 0.2953
Cu5 0.8104 0.1896 0.7047
Cu6 0.8104 0.6208 0.7047

Properties
* final energy: -3.380 eV/atom

---

Here is InReHg2 after structural relaxation from Alexandria. Energies are from GGA-PBE.

a = 5.3278 Å, b = 5.3278 Å, c = 3.0194 Å
α = 90.00°, β = 90.00°, γ = 112.61°
Positions (direct):
In1 0.0000 0.0000 0.0000
Re1 0.5000 0.5000 0.0000
Hg1 0.0000 0.5000 0.5000
Hg2 0.5000 0.0000 0.5000

Properties
* final energy: -3.187 eV/atom

---

Here is Nd6AgOs2 after structural relaxation from Alexandria. Energies are from GGA-PBE.

a = 8.7304 Å, b = 8.7304 Å, c = 8.7304 Å
α = 111.79°, β = 111.24°, γ = 105.46°
Positions (direct):
Nd1 0.0408 0.2409 0.7999
Nd2 0.1822 0.2765 0.4587
Nd3 0.1822 0.7235 0.9057
Nd4 0.3287 0.0136 0.6849
Nd5 0.3287 0.6438 0.3151
Nd6 0.4411 0.2409 0.2001
Nd7 0.5589 0.7591 0.7999
Nd8 0.6713 0.3562 0.6849
Nd9 0.6713 0.9864 0.3151
Nd10 0.8178 0.2765 0.0943
Nd11 0.8178 0.7235 0.5413
Nd12 0.9592 0.7591 0.2001
Ag1 0.0000 0.0000 0.0000
Ag2 0.5000 0.5000 0.0000
Os1 0.1169 0.6169 0.5000
Os2 0.3262 0.0000 0.3262
Os3 0.6738 0.0000 0.6738
Os4 0.8831 0.3831 0.5000

Properties
* final energy: -6.111 eV/atom